(1)
Here is a relaxed KCaSb3 crystal from the Alexandria database. Energies are from PBE.

Unit cell a=5.835 b=5.835 c=5.835 alpha=90.00 beta=90.00 gamma=90.00
Fractional coordinates of all 5 atoms:
K1 0.000 0.000 0.000
Ca1 0.500 0.500 0.500
Sb1 0.000 0.500 0.500
Sb2 0.500 0.000 0.500
Sb3 0.500 0.500 0.000

Results
The calculation puts the energy above the lowest structure with this stoichiometry at 0.000 kcal/mol of atoms. The formation energy from raw total energies comes out at 0.08 eV/atom. The crystal system is cubic.


(2)
Here is a relaxed KCa2Sb2 crystal from the Alexandria database. Energies are from PBE.

Unit cell a=7.268 b=7.268 c=7.268 alpha=131.49 beta=131.49 gamma=71.03
Fractional coordinates of all 5 atoms:
K1 0.000 0.000 0.000
Ca1 0.313 0.313 0.000
Ca2 0.687 0.687 0.000
Sb1 0.250 0.750 0.500
Sb2 0.750 0.250 0.500

Results
The calculation puts the energy above the lowest structure with this stoichiometry at 6.325 kcal/mol of atoms. The formation energy from raw total energies comes out at -0.51 eV/atom. The crystal system is tetragonal.


(3)
Here is a relaxed K2CaSbSe4 crystal from the Alexandria database. Energies are from PBE.

Unit cell a=8.761 b=8.761 c=8.761 alpha=121.40 beta=118.29 gamma=90.29
Fractional coordinates of all 16 atoms:
K1 0.000 0.000 0.000
K2 0.500 0.000 0.000
K3 0.500 0.000 0.500
K4 0.500 0.500 0.500
Ca1 0.000 0.500 0.500
Ca2 0.500 0.500 0.000
Sb1 0.000 0.000 0.500
Sb2 0.000 0.500 0.000
Se1 0.206 0.742 0.464
Se2 0.223 0.258 0.964
Se3 0.227 0.247 0.519
Se4 0.227 0.708 0.981
Se5 0.773 0.292 0.019
Se6 0.773 0.753 0.481
Se7 0.777 0.742 0.036
Se8 0.794 0.258 0.536

Results
The formation energy from raw total energies comes out at -1.02 eV/atom. The crystal system is orthorhombic.


(4)
Here is a relaxed K2SrCaSb crystal from the Alexandria database. Energies are from PBE.

Unit cell a=7.025 b=7.025 c=6.047 alpha=90.00 beta=90.00 gamma=90.00
Fractional coordinates of all 5 atoms:
K1 0.000 0.500 0.000
K2 0.500 0.000 0.000
Sr1 0.000 0.000 0.000
Ca1 0.500 0.500 0.500
Sb1 0.000 0.000 0.500

Results
The formation energy from raw total energies comes out at 0.29 eV/atom. The crystal system is tetragonal.


(5)
Here is a relaxed K3CaSb2Te6 crystal from the Alexandria database. Energies are from PBE.

Unit cell a=7.795 b=7.795 c=8.754 alpha=98.56 beta=98.56 gamma=120.05
Fractional coordinates of all 12 atoms:
K1 0.000 0.000 0.000
K2 0.334 0.666 0.000
K3 0.666 0.334 0.000
Ca1 0.500 0.500 0.500
Sb1 0.167 0.833 0.500
Sb2 0.833 0.167 0.500
Te1 0.087 0.431 0.293
Te2 0.225 0.225 0.707
Te3 0.431 0.087 0.293
Te4 0.569 0.913 0.707
Te5 0.775 0.775 0.293
Te6 0.913 0.569 0.707

Results
The formation energy from raw total energies comes out at -0.73 eV/atom. The crystal system is monoclinic.


(6)
Here is a relaxed KCaSb2Te crystal from the Alexandria database. Energies are from PBE.

Unit cell a=5.773 b=5.773 c=5.927 alpha=90.00 beta=90.00 gamma=90.00
Fractional coordinates of all 5 atoms:
K1 0.000 0.000 0.000
Ca1 0.500 0.500 0.500
Sb1 0.000 0.500 0.000
Sb2 0.500 0.000 0.000
Te1 0.000 0.000 0.500

Results
The calculation puts the energy above the lowest structure with this stoichiometry at 13.790 kcal/mol of atoms. The formation energy from raw total energies comes out at 0.50 eV/atom. The crystal system is tetragonal.


(7)
Here is a relaxed KCaSb2Te crystal from the Alexandria database. Energies are from PBE.

Unit cell a=5.867 b=5.867 c=5.916 alpha=90.00 beta=90.00 gamma=90.00
Fractional coordinates of all 5 atoms:
K1 0.000 0.000 0.000
Ca1 0.500 0.500 0.500
Sb1 0.000 0.500 0.500
Sb2 0.500 0.000 0.500
Te1 0.500 0.500 0.000

Results
The calculation puts the energy above the lowest structure with this stoichiometry at 0.000 kcal/mol of atoms. The formation energy from raw total energies comes out at -0.10 eV/atom. The crystal system is tetragonal.


(8)
Here is a relaxed KCa2Sc crystal from the Alexandria database. Energies are from PBE.

Unit cell a=6.358 b=6.358 c=3.883 alpha=90.00 beta=90.00 gamma=90.00
Fractional coordinates of all 4 atoms:
K1 0.000 0.000 0.000
Ca1 0.000 0.500 0.500
Ca2 0.500 0.000 0.500
Sc1 0.500 0.500 0.000

Results
The calculation puts the energy above the lowest structure with this stoichiometry at 3.847 kcal/mol of atoms. The energy of formation from the pure elements is 8.990 kcal/mol of atoms. The crystal system is tetragonal.


(9)
Here is a relaxed KCaSc3 crystal from the Alexandria database. Energies are from PBE.

Unit cell a=5.597 b=5.597 c=5.597 alpha=90.00 beta=90.00 gamma=90.00
Fractional coordinates of all 5 atoms:
K1 0.000 0.000 0.000
Ca1 0.500 0.500 0.500
Sc1 0.000 0.500 0.500
Sc2 0.500 0.000 0.500
Sc3 0.500 0.500 0.000

Results
The calculation puts the energy above the lowest structure with this stoichiometry at 0.000 kcal/mol of atoms. The energy of formation from the pure elements is 25.591 kcal/mol of atoms. The crystal system is cubic.


(10)
Here is a relaxed KCaSc2 crystal from the Alexandria database. Energies are from PBE.

Unit cell a=5.777 b=5.777 c=5.777 alpha=60.00 beta=60.00 gamma=60.00
Fractional coordinates of all 4 atoms:
K1 0.000 0.000 0.000
Ca1 0.500 0.500 0.500
Sc1 0.250 0.250 0.250
Sc2 0.750 0.750 0.750

Results
The calculation puts the energy above the lowest structure with this stoichiometry at 9.675 kcal/mol of atoms. The energy of formation from the pure elements is 15.895 kcal/mol of atoms. The crystal system is cubic.


(11)
Here is a relaxed KCa2Sc crystal from the Alexandria database. Energies are from PBE.

Unit cell a=7.596 b=7.596 c=7.596 alpha=103.71 beta=103.71 gamma=121.74
Fractional coordinates of all 8 atoms:
K1 0.000 0.000 0.000
K2 0.750 0.250 0.500
Ca1 0.134 0.625 0.009
Ca2 0.375 0.384 0.509
Ca3 0.616 0.125 0.991
Ca4 0.875 0.866 0.491
Sc1 0.250 0.750 0.500
Sc2 0.500 0.500 0.000

Results
The calculation puts the energy above the lowest structure with this stoichiometry at 9.465 kcal/mol of atoms. The energy of formation from the pure elements is 14.607 kcal/mol of atoms. The crystal system is tetragonal.


(12)
Here is a relaxed KCa2Sc crystal from the Alexandria database. Energies are from PBE.

Unit cell a=6.476 b=6.476 c=7.230 alpha=97.59 beta=97.59 gamma=32.72
Fractional coordinates of all 4 atoms:
K1 0.000 0.000 0.000
Ca1 0.238 0.238 0.719
Ca2 0.762 0.762 0.281
Sc1 0.500 0.500 0.500

Results
The calculation puts the energy above the lowest structure with this stoichiometry at 3.602 kcal/mol of atoms. The energy of formation from the pure elements is 8.744 kcal/mol of atoms. The crystal system is monoclinic.


Fermi-level density of states values, unit states/eV per cell, following the record order: 2.1 3.3 10.2 5.9 7.9 5.4 4.8 6.1 5.2 5.9 13.6 6.4.